Record 1
Re2SbP: optimized geometry, PBE-GGA.

Summary:
- Formation energy (no corrections): 0.906 eV/atom

Lattice parameters (Å, degrees): 4.5474 4.5474 4.5474 60.00 60.00 60.00
Last column: nearest neighbours and their distance in Å.
Fractional positions:
Re  0.0000  0.0000  0.0000  4 Re 2.78, 4 Sb 2.78
Re  0.7500  0.7500  0.7500  4 Re 2.78, 4 P 2.78
Sb  0.2500  0.2500  0.2500  4 Re 2.78, 4 P 2.78
P  0.5000  0.5000  0.5000  4 Re 2.78, 4 Sb 2.78

***

Record 2
ReSb2P: optimized geometry, PBE-GGA.

Summary:
- Formation energy (no corrections): 0.634 eV/atom

Lattice parameters (Å, degrees): 3.3464 4.3905 5.5292 90.00 90.00 90.00
Last column: nearest neighbours and their distance in Å.
Fractional positions:
Re  0.0000  0.0000  0.5000  6 Sb 2.76
Sb  0.0000  0.0000  0.0000  4 P 2.76, 2 Re 2.76
Sb  0.5000  0.5000  0.5000  4 Re 2.76, 2 P 2.76
P  0.5000  0.5000  0.0000  6 Sb 2.76

***

Record 3
ReSb2P: optimized geometry, PBE-GGA.

Summary:
- Formation energy (no corrections): 0.156 eV/atom

Lattice parameters (Å, degrees): 3.1790 3.1790 8.1247 90.00 90.00 90.00
Last column: nearest neighbours and their distance in Å.
Fractional positions:
Re  0.5000  0.5000  0.6934  4 P 2.49
Sb  0.0000  0.0000  0.9309  4 Re 2.96, 1 P 3.01, 4 Sb 3.18
Sb  0.5000  0.5000  0.3149  4 P 3.01, 1 Re 3.08, 4 Sb 3.18
P  0.0000  0.0000  0.5607  4 Re 2.49

***

Record 4
ReSbP: optimized geometry, PBE-GGA.

Summary:
- Formation energy (no corrections): 0.143 eV/atom

Lattice parameters (Å, degrees): 3.2729 3.2729 6.1017 90.00 90.00 120.00
Last column: nearest neighbours and their distance in Å.
Fractional positions:
Re  0.6667  0.3333  0.2984  3 P 2.38
Sb  0.3333  0.6667  0.6413  3 Re 2.82
P  0.0000  0.0000  0.0603  3 Re 2.38

***

| no. | density of states at the Fermi level (states/eV per cell) |
| --- | --- |
| 1 | 4.8 |
| 2 | 4.0 |
| 3 | 2.1 |
| 4 | 2.1 |